[1]
A relaxed BaBiN3 crystal, computed with PBE. Values from VASP.

The structure in Quantum ESPRESSO input format:
```
&SYSTEM
  ibrav = 0, nat = 5, ntyp = 3
/
ATOMIC_SPECIES
N 14.01 N.upf
Bi 208.98 Bi.upf
Ba 137.33 Ba.upf
CELL_PARAMETERS angstrom
-2.223 -1.380 3.657
-0.559 -4.052 -1.868
3.869 -1.378 1.831
ATOMIC_POSITIONS crystal
N 0.000 0.000 0.500
N 0.500 0.000 0.000
N 0.000 0.500 0.000
Bi 0.500 0.500 0.500
Ba 0.000 0.000 0.000
```

crystal system = cubic
total DFT energy (no corrections) = -4.053 eV/atom
ΔE_f (raw) = 2.10 eV per atom



[2]
A relaxed LaInGa2Se crystal, computed with PBE. Values from VASP.

The structure in Quantum ESPRESSO input format:
```
&SYSTEM
  ibrav = 0, nat = 5, ntyp = 4
/
ATOMIC_SPECIES
Ga 69.72 Ga.upf
La 138.91 La.upf
Se 78.96 Se.upf
In 114.82 In.upf
CELL_PARAMETERS angstrom
5.723 0.000 0.000
0.000 6.167 0.000
0.000 0.000 5.723
ATOMIC_POSITIONS crystal
Ga 0.500 0.000 0.000
Ga 0.000 0.000 0.500
La 0.000 0.000 0.000
Se 0.500 0.500 0.500
In 0.000 0.500 0.000
```

crystal system = tetragonal
total DFT energy (no corrections) = -2.674 eV/atom
ΔE_f (raw) = 0.77 eV per atom



[3]
A relaxed CaTa2Pb crystal, computed with PBE. Values from VASP.

The structure in Quantum ESPRESSO input format:
```
&SYSTEM
  ibrav = 0, nat = 4, ntyp = 3
/
ATOMIC_SPECIES
Ta 180.95 Ta.upf
Ca 40.08 Ca.upf
Pb 207.20 Pb.upf
CELL_PARAMETERS angstrom
-0.787 -1.789 -5.454
4.426 -2.650 -2.637
-3.043 -0.371 4.916
ATOMIC_POSITIONS crystal
Ta 0.005 0.005 0.000
Ta 0.495 0.495 0.000
Ca 0.750 0.250 0.500
Pb 0.250 0.750 0.500
```

crystal system = orthorhombic
ΔE_f = 0.524 eV per atom
total DFT energy (no corrections) = -6.830 eV/atom



[4]
A relaxed Y2TmSi2Pt7 crystal, computed with PBE. Values from VASP.

The structure in Quantum ESPRESSO input format:
```
&SYSTEM
  ibrav = 0, nat = 12, ntyp = 4
/
ATOMIC_SPECIES
Pt 195.08 Pt.upf
Si 28.09 Si.upf
Tm 168.93 Tm.upf
Y 88.91 Y.upf
CELL_PARAMETERS angstrom
-1.666 -2.875 2.279
-1.462 -1.808 -3.291
10.231 -9.095 -1.370
ATOMIC_POSITIONS crystal
Pt 0.441 0.941 0.160
Pt 0.366 0.366 0.428
Pt 0.059 0.559 0.840
Pt 0.500 0.500 0.000
Pt 0.634 0.634 0.572
Pt 0.559 0.059 0.840
Pt 0.941 0.441 0.160
Si 0.595 0.595 0.743
Si 0.405 0.405 0.257
Tm 0.000 0.000 0.000
Y 0.883 0.883 0.355
Y 0.117 0.117 0.645
```

crystal system = monoclinic
total DFT energy (no corrections) = -7.023 eV/atom
ΔE_f (raw) = -1.15 eV per atom



[5]
A relaxed Th5TlGa2 crystal, computed with PBE. Values from VASP.

The structure in Quantum ESPRESSO input format:
```
&SYSTEM
  ibrav = 0, nat = 16, ntyp = 3
/
ATOMIC_SPECIES
Th 232.04 Th.upf
Ga 69.72 Ga.upf
Tl 204.38 Tl.upf
CELL_PARAMETERS angstrom
7.243 0.000 -3.419
-1.614 7.061 -3.419
-0.136 -0.171 9.094
ATOMIC_POSITIONS crystal
Th 0.484 0.311 0.294
Th 0.984 0.484 0.294
Th 0.000 0.000 0.000
Th 0.516 0.689 0.706
Th 0.189 0.016 0.706
Th 0.500 0.500 0.000
Th 0.811 0.984 0.294
Th 0.311 0.811 0.294
Th 0.016 0.516 0.706
Th 0.689 0.189 0.706
Ga 0.373 0.873 0.000
Ga 0.127 0.373 0.000
Ga 0.627 0.127 0.000
Ga 0.873 0.627 0.000
Tl 0.750 0.750 0.500
Tl 0.250 0.250 0.500
```

crystal system = tetragonal
ΔE_f = -0.267 eV per atom
total DFT energy (no corrections) = -5.957 eV/atom



[6]
A relaxed BeAg2Ru crystal, computed with PBE. Values from VASP.

The structure in Quantum ESPRESSO input format:
```
&SYSTEM
  ibrav = 0, nat = 8, ntyp = 3
/
ATOMIC_SPECIES
Ag 107.87 Ag.upf
Ru 101.07 Ru.upf
Be 9.01 Be.upf
CELL_PARAMETERS angstrom
-3.339 0.819 1.152
-1.360 -2.667 -2.046
-1.326 -7.076 6.893
ATOMIC_POSITIONS crystal
Ag 0.875 0.871 0.750
Ag 0.621 0.125 0.250
Ag 0.129 0.625 0.250
Ag 0.375 0.379 0.750
Ru 0.750 0.250 0.500
Ru 0.000 0.000 0.000
Be 0.500 0.500 0.000
Be 0.250 0.750 0.500
```

crystal system = tetragonal
ΔE_f = 0.678 eV per atom
total DFT energy (no corrections) = -3.998 eV/atom